Below is a relaxed structure of CaSi2Ru, with properties calculated at the GGA-PBE level.

Its total magnetization is 0.0 μB per formula unit. The calculation puts the formation energy without anion corrections at -380.9 meV/atom.

The space group is P4/mmm (No. 123) and the conventional cell measures 3.021, 3.021 and 7.270 Å, with angles of 90.00, 90.00 and 90.00 degrees. The inequivalent atoms are Ca at (0.000, 0.000, 0.000), Si at (0.500, 0.500, 0.305) and Ru at (0.000, 0.000, 0.500).



Below is a relaxed structure of Nd3Tm8Sc2, with properties calculated at the GGA-PBE level.

Its total magnetization is 0.0 μB per formula unit. The calculation puts the formation energy at 0.256 eV per atom.

The space group is C2/m (No. 12) and the conventional cell measures 19.409, 7.687 and 5.529 Å, with angles of 90.00, 90.02 and 90.00 degrees. The inequivalent atoms are Nd at (0.000, 0.000, 0.000), Nd at (0.000, 0.294, 0.500), Tm at (0.115, 0.291, 0.000), Tm at (0.137, 0.000, 0.500), Tm at (0.178, 0.500, 0.501) and Sc at (0.240, 0.000, 0.999).



Below is a relaxed structure of Rb2Te3Se8, with properties calculated at the GGA-PBE level.

Its total magnetization is 0.0 μB per formula unit. The calculation puts the formation energy without anion corrections at -288.3 meV/atom.

The space group is P-1 (No. 2) and the conventional cell measures 7.139, 8.863 and 9.267 Å, with angles of 96.68, 102.50 and 106.53 degrees. The inequivalent atoms are Rb at (0.243, 0.421, 0.193), Te at (0.000, 0.500, 0.500), Te at (0.248, 0.084, 0.862), Se at (0.133, 0.968, 0.238), Se at (0.135, 0.394, 0.768), Se at (0.225, 0.849, 0.014) and Se at (0.312, 0.669, 0.760).



Below is a relaxed structure of NaDyZnSe3, with properties calculated at the GGA-PBE level.

Its total magnetization is 0.0 μB per formula unit. The calculation puts the formation energy without anion corrections at -1312.8 meV/atom.

The space group is P2_1/m (No. 11) and the conventional cell measures 8.386, 4.096 and 10.037 Å, with angles of 90.00, 106.01 and 90.00 degrees. The inequivalent atoms are Na at (0.190, 0.250, 0.180), Dy at (0.327, 0.750, 0.852), Zn at (0.081, 0.250, 0.602), Se at (0.084, 0.250, 0.849), Se at (0.223, 0.750, 0.542) and Se at (0.437, 0.750, 0.149).



Below is a relaxed structure of Na3Ca2RhO6, with properties calculated at the GGA-PBE level.

Its total magnetization is 2.0 μB per formula unit. The calculation puts the formation energy without anion corrections at -1786.4 meV/atom.

The space group is C2/m (No. 12) and the conventional cell measures 5.717, 9.920 and 5.822 Å, with angles of 90.00, 109.16 and 90.00 degrees. The inequivalent atoms are Na at (0.000, 0.000, 0.000), Na at (0.000, 0.341, 0.000), Ca at (0.000, 0.168, 0.500), Rh at (0.000, 0.500, 0.500), O at (0.218, 0.353, 0.715) and O at (0.224, 0.500, 0.294).



Below is a relaxed structure of SrCuP, with properties calculated at the GGA-PBE level.

Its total magnetization is 0.0 μB per formula unit. The calculation puts the formation energy at -0.164 eV per atom.

The space group is P6_3/mmc (No. 194) and the conventional cell measures 5.0465, 5.0465 and 6.0116 Å, with angles of 90.00, 90.00 and 120.00 degrees. The inequivalent atoms are Sr at (0.3333, 0.6667, 0.2500), Cu at (0.0000, 0.0000, 0.0000) and P at (0.3333, 0.6667, 0.7500).